VASP calculation (PBE) on crystalline Y2SI at its relaxed geometry.

a = 5.1128 Å, b = 5.1128 Å, c = 5.1128 Å
α = 60.00°, β = 60.00°, γ = 60.00°
Closest atoms and distances in Å follow each position.
Element x y z (fractional)
Y 0.7500 0.7500 0.7500  4 S 3.13, 4 I 3.13
Y 0.2500 0.2500 0.2500  4 S 3.13, 4 I 3.13
I 0.5000 0.5000 0.5000  8 Y 3.13
S 0.0000 0.0000 0.0000  8 Y 3.13

Properties
E_form (uncorrected), eV/atom: -1.01
E above lowest polymorph, eV/atom: 0.349


VASP calculation (PBE) on crystalline YS3I at its relaxed geometry.

a = 5.2768 Å, b = 5.2768 Å, c = 5.2768 Å
α = 90.00°, β = 90.00°, γ = 90.00°
Closest atoms and distances in Å follow each position.
Element x y z (fractional)
I 0.5000 0.5000 0.5000  12 S 3.73
Y 0.0000 0.0000 0.0000  6 S 2.64
S 0.0000 0.5000 0.0000  2 Y 2.64
S 0.5000 0.0000 0.0000  2 Y 2.64
S 0.0000 0.0000 0.5000  2 Y 2.64

Properties
E_form (uncorrected), eV/atom: -0.16
E above lowest polymorph, eV/atom: 0.000


VASP calculation (PBE) on crystalline Y4SI5 at its relaxed geometry.

a = 4.0968 Å, b = 8.7140 Å, c = 9.7001 Å
α = 102.93°, β = 102.19°, γ = 90.00°
Closest atoms and distances in Å follow each position.
Element x y z (fractional)
Y 0.0016 0.7988 0.0032  2 S 2.70
I 0.8362 0.6636 0.6725  3 Y 3.08-3.09
I 0.1638 0.3364 0.3275  3 Y 3.08-3.09
I 0.5000 0.5000 0.0000  4 Y 3.31
S 0.5000 0.0000 0.0000  6 Y 2.60-2.70
Y 0.9984 0.2012 0.9968  2 S 2.70
I 0.8278 0.1783 0.6556  4 Y 3.11-3.46
Y 0.3594 0.9339 0.7188  1 S 2.60
I 0.1722 0.8217 0.3444  4 Y 3.11-3.46
Y 0.6406 0.0661 0.2812  1 S 2.60

Properties
E_form (uncorrected), eV/atom: -1.34